DFT (meta-GGA SCAN) results for a PBEsol-optimized structure of Ag2PtW.

The value obtained for the calculated density is 15.688 Mg/m³. The formation enthalpy at 0 K is 0.465 eV per atom. The value obtained for the density of states at the Fermi level is 2.659 states/eV/cell.

The space group is Pmmm (No. 47) and the conventional cell measures 2.7195, 4.3245 and 5.3520 Å, with angles of 90.00, 90.00 and 90.00 degrees. The distinct sites, in fractional coordinates, are Ag at (0.0000, 0.0000, 0.2475), Pt at (0.5000, 0.5000, 0.5000) and W at (0.5000, 0.5000, 0.0000).